VASP calculation (PBE+U) on crystalline K2TiW3O12 at its relaxed geometry.

a = 7.3751 Å, b = 7.3751 Å, c = 17.7975 Å
α = 90.00°, β = 90.00°, γ = 120.00°
Space group R-3m (No. 166, hexagonal axes)
Symmetry-distinct sites (fractional):
K 0.0000 0.0000 0.1431 x6
Ti 0.0000 0.0000 0.5000 x3
W 0.0000 0.5000 0.0000 x9
O 0.0833 0.5416 0.1028 x18
O 0.0846 0.5423 0.3560 x18

* ρ: 5.17 g/cm³
* electronic total energy: -394.13 eV/cell
* size of the total moment: 0.00 μB/f.u.